[1]
# Co2Rh3, optimized geometry, DFT GGA-PBEsol
data_Co2Rh3
_chemical_formula_sum 'Co4 Rh6'
_symmetry_space_group_name_H-M 'I m m m'
_symmetry_Int_Tables_number 71
_symmetry_space_group_name_Hall '-I 2 2'
_cell_length_a 2.616
_cell_length_b 3.642
_cell_length_c 12.949
_cell_angle_alpha 90.00
_cell_angle_beta 90.00
_cell_angle_gamma 90.00
loop_
_atom_site_label
_atom_site_fract_x
_atom_site_fract_y
_atom_site_fract_z
_atom_site_occupancy
Co1 0.000 0.000 0.204 1
Rh1 0.000 0.000 0.000 1
Rh2 0.000 0.000 0.393 1
# - Energy of formation from the pure elements: 0.065 eV per atom
# - Relative energy among the computed polymorphs: 0.01 eV per formula unit


[2]
# Co3Rh2, optimized geometry, DFT GGA-PBEsol
data_Co3Rh2
_chemical_formula_sum 'Co6 Rh4'
_symmetry_space_group_name_H-M 'C 1 2/m 1'
_symmetry_Int_Tables_number 12
_symmetry_space_group_name_Hall '-C 2y'
_cell_length_a 8.021
_cell_length_b 3.594
_cell_length_c 5.646
_cell_angle_alpha 90.00
_cell_angle_beta 134.06
_cell_angle_gamma 90.00
loop_
_atom_site_label
_atom_site_fract_x
_atom_site_fract_y
_atom_site_fract_z
_atom_site_occupancy
Co1 0.000 0.000 0.000 1
Co2 0.201 0.000 0.593 1
Rh1 0.096 0.500 0.799 1
# - Energy of formation from the pure elements: 0.080 eV per atom
# - Relative energy among the computed polymorphs: 0.00 eV per formula unit


[3]
# Co3Rh, optimized geometry, DFT GGA-PBEsol
data_Co3Rh
_chemical_formula_sum 'Co6 Rh2'
_symmetry_space_group_name_H-M 'I m m 2'
_symmetry_Int_Tables_number 44
_symmetry_space_group_name_Hall 'I 2 -2'
_cell_length_a 2.559
_cell_length_b 8.111
_cell_length_c 4.359
_cell_angle_alpha 90.00
_cell_angle_beta 90.00
_cell_angle_gamma 90.00
loop_
_atom_site_label
_atom_site_fract_x
_atom_site_fract_y
_atom_site_fract_z
_atom_site_occupancy
Co1 0.000 0.000 0.000 1
Co2 0.000 0.254 0.338 1
Rh1 0.000 0.500 0.994 1
# - Energy of formation from the pure elements: 0.044 eV per atom


[4]
# Co3Rh, optimized geometry, DFT GGA-PBEsol
data_Co3Rh
_chemical_formula_sum 'Co3 Rh1'
_symmetry_space_group_name_H-M 'P -6 m 2'
_symmetry_Int_Tables_number 187
_symmetry_space_group_name_Hall 'P -6 2'
_cell_length_a 2.5516
_cell_length_b 2.5516
_cell_length_c 8.0684
_cell_angle_alpha 90.00
_cell_angle_beta 90.00
_cell_angle_gamma 120.00
loop_
_atom_site_label
_atom_site_fract_x
_atom_site_fract_y
_atom_site_fract_z
_atom_site_occupancy
Co1 0.0000 0.0000 0.0000 1
Co2 0.3333 0.6667 0.2392 1
Rh1 0.0000 0.0000 0.5000 1
# - Energy of formation from the pure elements: 0.067 eV per atom


In μB per formula unit, the magnetization values for the records above are, in order, 3.63, 5.16, 5.52, 5.58.